Computed, not measured: a relaxed structure of Np2ScIn3Te6 at the PBE level of DFT.

Cell: 7.567 7.567 8.489 Å, 98.56 98.56 119.91°
Fractional positions:
Np1 0.166 0.834 0.000
Np2 0.834 0.166 0.000
Sc1 0.500 0.500 0.000
In1 0.000 0.000 0.500
In2 0.330 0.670 0.500
In3 0.670 0.330 0.500
Te1 0.108 0.429 0.785
Te2 0.253 0.253 0.220
Te3 0.429 0.108 0.785
Te4 0.571 0.892 0.215
Te5 0.747 0.747 0.780
Te6 0.892 0.571 0.215

Properties
Space-group type: No. 12
Electronic total energy, eV per cell: -66.37

=====

Computed, not measured: a relaxed structure of TbPm3Dy6 at the PBE level of DFT.

Cell: 6.644 6.644 9.644 Å, 110.90 110.90 59.48°
Fractional positions:
Tb1 0.000 0.000 0.000
Pm1 0.431 0.431 0.803
Pm2 0.500 0.500 0.500
Pm3 0.569 0.569 0.197
Dy1 0.061 0.567 0.190
Dy2 0.138 0.138 0.422
Dy3 0.433 0.939 0.810
Dy4 0.567 0.061 0.190
Dy5 0.862 0.862 0.578
Dy6 0.939 0.433 0.810

Properties
Space-group type: No. 12
E above lowest polymorph, meV/atom: 77
Formation enthalpy at 0 K, kJ/mol of atoms: 22
Electronic total energy, eV per cell: -44.24

=====

Computed, not measured: a relaxed structure of SiSb2PbI at the PBE level of DFT.

Cell: 5.860 5.860 5.997 Å, 90.00 90.00 90.00°
Fractional positions:
Si1 0.000 0.000 0.000
Sb1 0.000 0.500 0.500
Sb2 0.500 0.000 0.500
Pb1 0.500 0.500 0.500
I1 0.500 0.500 0.000

Properties
Space-group type: No. 123
E above lowest polymorph, meV/atom: 703
Electronic total energy, eV per cell: -13.25